(1)
Material: ScNi2W
Method: DFT, GGA-PBE
State: optimized geometry

```
ScNi2W
1.0
4.7748 -1.3549 0.0000
4.7748 1.3549 0.0000
-1.1890 0.0000 4.4330
Sc Ni W
1 2 1
direct
0.0000 0.0000 0.0000 Sc
0.4718 0.4718 0.4942 Ni
0.7638 0.7638 0.1601 Ni
0.2169 0.2169 0.6273 W
```

Energy relative to the lowest polymorph listed for this composition = 1.80 kcal/mol of atoms
Density of states at the Fermi level = 0.7847 states/eV per atom
Formation energy = -0.17 eV per formula unit
Calculated volume = 14.34 A^3/atom
Magnetic moment = 0.000 μB per atom
Space group = Cm (8)

(2)
Material: AcMgGe2
Method: DFT, GGA-PBE
State: optimized geometry

```
AcMgGe2
1.0
8.3920 0.0000 0.0000
0.0000 4.1792 0.0000
0.0000 0.0000 11.3240
Ac Mg Ge
4 4 8
direct
0.1246 0.2500 0.1384 Ac
0.3754 0.7500 0.6384 Ac
0.6246 0.2500 0.3616 Ac
0.8754 0.7500 0.8616 Ac
0.0078 0.7500 0.3942 Mg
0.4922 0.2500 0.8942 Mg
0.5078 0.7500 0.1058 Mg
0.9922 0.2500 0.6058 Mg
0.1740 0.2500 0.8104 Ge
0.2368 0.2500 0.4399 Ge
0.2632 0.7500 0.9399 Ge
0.3260 0.7500 0.3104 Ge
0.6740 0.2500 0.6896 Ge
0.7368 0.2500 0.0601 Ge
0.7632 0.7500 0.5601 Ge
0.8260 0.7500 0.1896 Ge
```

Density of states at the Fermi level = 0.4262 states/eV per atom
Formation energy = -2.10 eV per formula unit
Calculated volume = 24.82 A^3/atom
Magnetic moment = 0.000 μB per atom
Space group = Pnma (62)

(3)
Material: Re2SbBr
Method: DFT, GGA-PBE
State: optimized geometry

```
Re2SbBr
1.0
-1.4996 2.6347 4.6099
1.4996 -2.6347 4.6099
1.4996 2.6347 -4.6099
Re Sb Br
2 1 1
direct
0.2449 0.2449 0.0000 Re
0.7551 0.7551 0.0000 Re
0.0000 0.5000 0.5000 Sb
0.5000 0.0000 0.5000 Br
```

Energy relative to the lowest polymorph listed for this composition = 24.15 kcal/mol of atoms
Density of states at the Fermi level = 1.1152 states/eV per atom
Calculated volume = 18.21 A^3/atom
Magnetic moment = 0.000 μB per atom
ΔE_f (raw) = 1.29 eV per atom
Space group = Immm (71)

(4)
Material: CsGeF2
Method: DFT, GGA-PBE
State: optimized geometry

```
CsGeF2
1.0
0.0000 3.4578 3.4578
3.4578 0.0000 3.4578
3.4578 3.4578 0.0000
Cs Ge F
1 1 2
direct
0.0000 0.0000 0.0000 Cs
0.5000 0.5000 0.5000 Ge
0.2500 0.2500 0.2500 F
0.7500 0.7500 0.7500 F
```

Energy relative to the lowest polymorph listed for this composition = 13.10 kcal/mol of atoms
Density of states at the Fermi level = 0.8404 states/eV per atom
Calculated volume = 20.67 A^3/atom
Magnetic moment = 0.250 μB per atom
ΔE_f (raw) = -1.24 eV per atom
Space group = Fm-3m (225)